A plane-wave DFT calculation with PBE with a Hubbard U was carried out for a relaxed MoPO5 crystal.

Summary:
The magnetization is 0.143 μB per atom. The value obtained for the relative energy among the computed polymorphs is 0.000 eV/atom.

Structure (CIF):
```
data_MoPO5
_chemical_formula_sum 'Mo4 P4 O20'
_space_group_name_H-M_alt 'P n m a'
_space_group_IT_number 62
_cell_length_a 7.6409
_cell_length_b 6.4675
_cell_length_c 7.6024
_cell_angle_alpha 90.00
_cell_angle_beta 90.00
_cell_angle_gamma 90.00
loop_
_space_group_symop_operation_xyz
'x,y,z'
'-x,-y,-z'
'-x+1/2,-y,z+1/2'
'x+1/2,y,-z+1/2'
'x+1/2,-y+1/2,-z+1/2'
'-x+1/2,y+1/2,z+1/2'
'-x,y+1/2,-z'
'x,-y+1/2,z'
loop_
_atom_site_label
_atom_site_type_symbol
_atom_site_fract_x
_atom_site_fract_y
_atom_site_fract_z
Mo1 Mo 0.1652 0.2500 0.2273
P1 P 0.1269 0.7500 0.1156
O1 O 0.0461 0.2500 0.9915
O2 O 0.1108 0.7500 0.6777
O3 O 0.1320 0.5603 0.2387
O4 O 0.2149 0.2500 0.4897
```